# Mo3IrRh PBE relaxed
# Energy relative to the lowest polymorph listed for this composition: 0.000 eV/atom
# Magnetization: 0.00 μB per cell
# V: 102.9 Å³ per cell
# Energy of formation from the pure elements: 1.684 eV per atom
data_Mo3IrRh
_symmetry_space_group_name_H-M 'P m -3 m'
_symmetry_Int_Tables_number 221
_symmetry_space_group_name_Hall '-P 4 2 3'
_cell_length_a 4.685
_cell_length_b 4.685
_cell_length_c 4.685
_cell_angle_alpha 90.00
_cell_angle_beta 90.00
_cell_angle_gamma 90.00
loop_
_atom_site_label
_atom_site_type_symbol
_atom_site_fract_x
_atom_site_fract_y
_atom_site_fract_z
Mo1 Mo 0.000 0.000 0.500
Ir1 Ir 0.000 0.000 0.000
Rh1 Rh 0.500 0.500 0.500